No. 1
# DyTmCuAg | Alexandria | GGA-PBE | relaxed
# **ΔE_f**: -1.113 eV per formula unit
data_DyTmCuAg
_cell_length_a 7.076
_cell_length_b 7.076
_cell_length_c 7.076
_cell_angle_alpha 90.00
_cell_angle_beta 90.00
_cell_angle_gamma 90.00
_space_group_name_H-M_alt 'F -4 3 m'
_space_group_IT_number 216
_space_group_name_Hall 'F -4 2 3'
loop_
_atom_site_label
_atom_site_fract_x
_atom_site_fract_y
_atom_site_fract_z
_atom_site_occupancy
Dy1 0.000 0.000 0.000 1
Tm1 0.000 0.000 0.500 1
Cu1 0.250 0.250 0.250 1
Ag1 0.250 0.250 0.750 1


No. 2
# PmPu6 | Alexandria | GGA-PBE | relaxed
# **ΔE_f**: 0.838 eV per formula unit
data_PmPu6
_cell_length_a 6.699
_cell_length_b 6.699
_cell_length_c 6.699
_cell_angle_alpha 90.00
_cell_angle_beta 90.00
_cell_angle_gamma 90.00
_space_group_name_H-M_alt 'I m -3 m'
_space_group_IT_number 229
_space_group_name_Hall '-I 4 2 3'
loop_
_atom_site_label
_atom_site_fract_x
_atom_site_fract_y
_atom_site_fract_z
_atom_site_occupancy
Pm1 0.000 0.000 0.000 1
Pu1 0.000 0.250 0.500 1


No. 3
# CaCd3Br | Alexandria | GGA-PBE | relaxed
# **Total DFT energy (no corrections)**: -5.52 eV for the cell shown
data_CaCd3Br
_cell_length_a 6.211
_cell_length_b 6.211
_cell_length_c 6.211
_cell_angle_alpha 90.00
_cell_angle_beta 90.00
_cell_angle_gamma 90.00
_space_group_name_H-M_alt 'P m -3 m'
_space_group_IT_number 221
_space_group_name_Hall '-P 4 2 3'
loop_
_atom_site_label
_atom_site_fract_x
_atom_site_fract_y
_atom_site_fract_z
_atom_site_occupancy
Ca1 0.000 0.000 0.000 1
Cd1 0.000 0.000 0.500 1
Br1 0.500 0.500 0.500 1


No. 4
# TaSi2Se6 | Alexandria | GGA-PBE | relaxed
# **Total DFT energy (no corrections)**: -188.15 eV for the cell shown
data_TaSi2Se6
_cell_length_a 12.511
_cell_length_b 11.375
_cell_length_c 6.521
_cell_angle_alpha 90.00
_cell_angle_beta 101.64
_cell_angle_gamma 90.00
_space_group_name_H-M_alt 'C 1 2/c 1'
_space_group_IT_number 15
loop_
_space_group_symop_operation_xyz
'x,y,z'
'-x,-y,-z'
'-x,y,-z+1/2'
'x,-y,z+1/2'
'x+1/2,y+1/2,z'
'-x+1/2,-y+1/2,-z'
'-x+1/2,y+1/2,-z+1/2'
'x+1/2,-y+1/2,z+1/2'
loop_
_atom_site_label
_atom_site_fract_x
_atom_site_fract_y
_atom_site_fract_z
_atom_site_occupancy
Ta1 0.000 0.125 0.250 1
Si1 0.200 0.423 0.332 1
Se1 0.108 0.077 0.626 1
Se2 0.128 0.417 0.631 1
Se3 0.135 0.255 0.138 1


No. 5
# K2CuSb | Alexandria | GGA-PBE | relaxed
# **Total DFT energy (no corrections)**: -20.66 eV for the cell shown
data_K2CuSb
_cell_length_a 5.358
_cell_length_b 5.509
_cell_length_c 10.084
_cell_angle_alpha 90.00
_cell_angle_beta 90.00
_cell_angle_gamma 90.00
_space_group_name_H-M_alt 'C m m 2'
_space_group_IT_number 35
loop_
_space_group_symop_operation_xyz
'x,y,z'
'-x,-y,z'
'-x,y,z'
'x,-y,z'
'x+1/2,y+1/2,z'
'-x+1/2,-y+1/2,z'
'-x+1/2,y+1/2,z'
'x+1/2,-y+1/2,z'
loop_
_atom_site_label
_atom_site_fract_x
_atom_site_fract_y
_atom_site_fract_z
_atom_site_occupancy
K1 0.000 0.000 0.000 1
K2 0.000 0.500 0.401 1
Cu1 0.000 0.000 0.688 1
Sb1 0.000 0.500 0.737 1


No. 6
# Tb3PmEr5 | Alexandria | GGA-PBE | relaxed
# **ΔE_f**: 2.942 eV per formula unit
data_Tb3PmEr5
_cell_length_a 17.210
_cell_length_b 6.156
_cell_length_c 11.195
_cell_angle_alpha 90.00
_cell_angle_beta 91.36
_cell_angle_gamma 90.00
_space_group_name_H-M_alt 'C 1 2/c 1'
_space_group_IT_number 15
loop_
_space_group_symop_operation_xyz
'x,y,z'
'-x,-y,-z'
'-x,y,-z+1/2'
'x,-y,z+1/2'
'x+1/2,y+1/2,z'
'-x+1/2,-y+1/2,-z'
'-x+1/2,y+1/2,-z+1/2'
'x+1/2,-y+1/2,z+1/2'
loop_
_atom_site_label
_atom_site_fract_x
_atom_site_fract_y
_atom_site_fract_z
_atom_site_occupancy
Tb1 0.000 0.000 0.000 1
Tb2 0.165 0.282 0.084 1
Pm1 0.000 0.118 0.250 1
Er1 0.000 0.408 0.750 1
Er2 0.166 0.272 0.411 1
Er3 0.172 0.202 0.746 1


No. 7
# NdAlAg2Se4 | Alexandria | GGA-PBE | relaxed
# **Total DFT energy (no corrections)**: -136.87 eV for the cell shown
data_NdAlAg2Se4
_cell_length_a 11.132
_cell_length_b 11.672
_cell_length_c 7.882
_cell_angle_alpha 90.00
_cell_angle_beta 131.74
_cell_angle_gamma 90.00
_space_group_name_H-M_alt 'C 1 2/c 1'
_space_group_IT_number 15
loop_
_space_group_symop_operation_xyz
'x,y,z'
'-x,-y,-z'
'-x,y,-z+1/2'
'x,-y,z+1/2'
'x+1/2,y+1/2,z'
'-x+1/2,-y+1/2,-z'
'-x+1/2,y+1/2,-z+1/2'
'x+1/2,-y+1/2,z+1/2'
loop_
_atom_site_label
_atom_site_fract_x
_atom_site_fract_y
_atom_site_fract_z
_atom_site_occupancy
Nd1 0.250 0.250 0.000 1
Al1 0.000 0.000 0.000 1
Ag1 0.000 0.500 0.000 1
Ag2 0.250 0.250 0.500 1
Se1 0.007 0.223 0.498 1
Se2 0.226 0.004 0.436 1


No. 8
# AcMgSnHg2 | Alexandria | GGA-PBE | relaxed
# **ΔE_f**: -1.955 eV per formula unit
data_AcMgSnHg2
_cell_length_a 4.638
_cell_length_b 4.638
_cell_length_c 12.721
_cell_angle_alpha 90.00
_cell_angle_beta 90.00
_cell_angle_gamma 90.00
_space_group_name_H-M_alt 'I -4 m 2'
_space_group_IT_number 119
_space_group_name_Hall 'I -4 -2'
loop_
_atom_site_label
_atom_site_fract_x
_atom_site_fract_y
_atom_site_fract_z
_atom_site_occupancy
Ac1 0.000 0.000 0.000 1
Mg1 0.000 0.500 0.250 1
Sn1 0.000 0.500 0.750 1
Hg1 0.000 0.000 0.389 1


No. 9
# Nd4Ho5Tm | Alexandria | GGA-PBE | relaxed
# **ΔE_f**: 2.370 eV per formula unit
data_Nd4Ho5Tm
_cell_length_a 10.686
_cell_length_b 10.686
_cell_length_c 5.937
_cell_angle_alpha 90.00
_cell_angle_beta 90.00
_cell_angle_gamma 90.00
_space_group_name_H-M_alt 'I 4 m m'
_space_group_IT_number 107
_space_group_name_Hall 'I 4 -2'
loop_
_atom_site_label
_atom_site_fract_x
_atom_site_fract_y
_atom_site_fract_z
_atom_site_occupancy
Nd1 0.000 0.323 0.000 1
Ho1 0.000 0.000 0.241 1
Ho2 0.188 0.188 0.503 1
Tm1 0.000 0.000 0.763 1


No. 10
# KMgGa2Cl8 | Alexandria | GGA-PBE | relaxed
# **Total DFT energy (no corrections)**: -116.87 eV for the cell shown
data_KMgGa2Cl8
_cell_length_a 6.4870
_cell_length_b 6.4870
_cell_length_c 27.9950
_cell_angle_alpha 90.00
_cell_angle_beta 90.00
_cell_angle_gamma 120.00
_space_group_name_H-M_alt 'R -3'
_space_group_IT_number 148
_space_group_name_Hall '-R 3'
loop_
_atom_site_label
_atom_site_fract_x
_atom_site_fract_y
_atom_site_fract_z
_atom_site_occupancy
K1 0.0000 0.0000 0.0000 1
Mg1 0.0000 0.0000 0.5000 1
Ga1 0.0000 0.0000 0.2410 1
Cl1 0.0000 0.0000 0.3214 1
Cl2 0.0089 0.6539 0.2202 1


No. 11
# Pr3Sm2TmS6 | Alexandria | GGA-PBE | relaxed
# **Total DFT energy (no corrections)**: -154.31 eV for the cell shown
data_Pr3Sm2TmS6
_cell_length_a 6.943
_cell_length_b 12.062
_cell_length_c 7.028
_cell_angle_alpha 90.00
_cell_angle_beta 109.28
_cell_angle_gamma 90.00
_space_group_name_H-M_alt 'C 1 2/m 1'
_space_group_IT_number 12
loop_
_space_group_symop_operation_xyz
'x,y,z'
'-x,-y,-z'
'-x,y,-z'
'x,-y,z'
'x+1/2,y+1/2,z'
'-x+1/2,-y+1/2,-z'
'-x+1/2,y+1/2,-z'
'x+1/2,-y+1/2,z'
loop_
_atom_site_label
_atom_site_fract_x
_atom_site_fract_y
_atom_site_fract_z
_atom_site_occupancy
Pr1 0.000 0.000 0.000 1
Pr2 0.000 0.329 0.000 1
Sm1 0.000 0.167 0.500 1
Tm1 0.000 0.500 0.500 1
S1 0.240 0.338 0.734 1
S2 0.244 0.500 0.262 1


No. 12
# Y4SnPd15 | Alexandria | GGA-PBE | relaxed
# **ΔE_f**: -15.604 eV per formula unit
data_Y4SnPd15
_cell_length_a 4.122
_cell_length_b 4.122
_cell_length_c 20.506
_cell_angle_alpha 90.00
_cell_angle_beta 90.00
_cell_angle_gamma 90.00
_space_group_name_H-M_alt 'P 4/m m m'
_space_group_IT_number 123
_space_group_name_Hall '-P 4 2'
loop_
_atom_site_label
_atom_site_fract_x
_atom_site_fract_y
_atom_site_fract_z
_atom_site_occupancy
Y1 0.000 0.000 0.101 1
Y2 0.000 0.000 0.302 1
Sn1 0.000 0.000 0.500 1
Pd1 0.000 0.500 0.000 1
Pd2 0.000 0.500 0.202 1
Pd3 0.000 0.500 0.405 1
Pd4 0.500 0.500 0.102 1
Pd5 0.500 0.500 0.304 1
Pd6 0.500 0.500 0.500 1